Entry w
A plane-wave DFT calculation with PBE was carried out for a relaxed structure of SmPu3.

## Properties
**Magnetization**: 18.200 μB/f.u.
**SG**: No. 71

Cell: 6.546 6.546 6.546 Å, 147.90 128.80 61.73°
Positions (direct):
Sm1 0.000 0.000 0.000
Pu1 0.265 0.765 0.500
Pu2 0.500 0.500 0.000
Pu3 0.735 0.235 0.500

Entry x
A plane-wave DFT calculation with PBE was carried out for a relaxed structure of SmPu3.

## Properties
**Magnetization**: 17.663 μB/f.u.
**SG**: No. 221

Cell: 4.843 4.843 4.843 Å, 90.00 90.00 90.00°
Positions (direct):
Sm1 0.000 0.000 0.000
Pu1 0.000 0.500 0.500
Pu2 0.500 0.000 0.500
Pu3 0.500 0.500 0.000

Most favorable structure: entry x. The second most favorable one is 1.7 kJ/mol of atoms above it.